DFT (PBE-GGA) results for crystalline PtWAu2 at its relaxed geometry.

Geometry as POSCAR:
```
PtWAu2
1.0
7.420 0.000 0.000
0.000 7.420 0.000
3.710 3.710 2.689
Au W Pt
4 2 2
Direct
0.615 0.125 0.250
0.135 0.625 0.250
0.375 0.385 0.750
0.875 0.865 0.750
0.500 0.500 0.000
0.250 0.750 0.500
0.000 0.000 0.000
0.750 0.250 0.500
```

Energy of formation (kJ per mole of atoms): 73
Theoretical density (g/cm3): 17.334
Energy above the most stable polymorph in this dataset (eV per atom): 0.7526
Total magnetization (μB/f.u.): 0.000
Fermi-level density of states (states/eV per cell): 10.243